DFT (meta-GGA SCAN) results for a crystal of ZrAl2Tc relaxed with PBEsol.

abc: 3.2903 3.2903 6.0792
angles: 90.00 90.00 90.00
Element x y z (fractional)
Zr1 0.0000 0.0000 0.0000
Al1 0.0000 0.0000 0.5378
Al2 0.5000 0.5000 0.3022
Tc1 0.5000 0.5000 0.7570

magnetization	0.00	μB/f.u.
mass density	6.1	g/cm3
E	-20.758	eV/atom


DFT (meta-GGA SCAN) results for a crystal of Al8Te relaxed with PBEsol.

abc: 6.5843 6.5843 6.5843
angles: 95.49 95.49 143.97
Element x y z (fractional)
Al1 0.0000 0.3413 0.3413
Al2 0.0000 0.6587 0.6587
Al3 0.3228 0.3228 0.6456
Al4 0.3228 0.6772 0.0000
Al5 0.3413 0.0000 0.3413
Al6 0.6587 0.0000 0.6587
Al7 0.6772 0.3228 0.0000
Al8 0.6772 0.6772 0.3544
Te1 0.0000 0.0000 0.0000

magnetization	0.00	μB/f.u.
mass density	3.6	g/cm3
E	-10.918	eV/atom
formation energy (no corrections)	2.58	kcal/mol of atoms


DFT (meta-GGA SCAN) results for a crystal of AlTe2 relaxed with PBEsol.

abc: 5.5068 5.5068 3.0192
angles: 90.00 90.00 120.00
Element x y z (fractional)
Al1 0.0000 0.0000 0.0000
Te1 0.3333 0.6667 0.5000
Te2 0.6667 0.3333 0.5000

magnetization	0.00	μB/f.u.
mass density	5.9	g/cm3
E	-27.026	eV/atom
formation energy (no corrections)	9.04	kcal/mol of atoms